A plane-wave DFT calculation with PBE-GGA was carried out for crystalline LaTcRu2 at its relaxed geometry.

Output
**Energy above the most stable polymorph in this dataset**: 30.32 kJ per mole of atoms
**Energy of formation from the pure elements**: 449 meV per atom
**N(E_F)**: 4.38 states/eV per cell

Lattice parameters (Å, degrees): 7.353 7.353 5.992 52.15 52.15 90.00
Atoms (fractional coordinates):
La: 0.000 0.000 0.000
La: 0.750 0.250 0.500
Tc: 0.250 0.750 0.500
Tc: 0.500 0.500 0.000
Ru: 0.875 0.817 0.750
Ru: 0.375 0.433 0.750
Ru: 0.183 0.625 0.250
Ru: 0.567 0.125 0.250